Record 1
{"formula": "FePtBr6", "functional": "PBE", "state": "relaxed", "m_tot_mub_per_fu": 4.00, "e_tot_ev_per_fu": -26.39, "lattice": [[3.223, 1.861, 5.794], [-3.223, 1.861, 5.794], [0.000, -3.722, 5.794]], "species": ["Fe", "Pt", "Br", "Br", "Br", "Br", "Br", "Br"], "frac_coords": [[0.000, 0.000, 0.000], [0.500, 0.500, 0.500], [0.095, 0.747, 0.407], [0.253, 0.593, 0.905], [0.407, 0.095, 0.747], [0.593, 0.905, 0.253], [0.747, 0.407, 0.095], [0.905, 0.253, 0.593]]}


Record 2
{"formula": "Rb2FeSnBr6", "functional": "PBE", "state": "relaxed", "m_tot_mub_per_fu": 4.00, "e_tot_ev_per_fu": -34.55, "lattice": [[0.000, 5.552, 5.552], [5.552, 0.000, 5.552], [5.552, 5.552, 0.000]], "species": ["Rb", "Rb", "Fe", "Sn", "Br", "Br", "Br", "Br", "Br", "Br"], "frac_coords": [[0.250, 0.250, 0.250], [0.750, 0.750, 0.750], [0.000, 0.000, 0.000], [0.500, 0.500, 0.500], [0.236, 0.236, 0.764], [0.236, 0.764, 0.236], [0.236, 0.764, 0.764], [0.764, 0.236, 0.236], [0.764, 0.236, 0.764], [0.764, 0.764, 0.236]]}


Record 3
{"formula": "FeSe2Br", "functional": "PBE", "state": "relaxed", "m_tot_mub_per_fu": 0.90, "e_tot_ev_per_fu": -17.37, "lattice": [[3.627, 0.000, 0.000], [-1.814, 3.141, 0.000], [0.000, 0.000, 7.515]], "species": ["Fe", "Se", "Se", "Br"], "frac_coords": [[0.000, 0.000, 0.000], [0.333, 0.667, 0.860], [0.667, 0.333, 0.170], [0.333, 0.667, 0.535]]}


Record 4
{"formula": "FeSe2Br2", "functional": "PBE", "state": "relaxed", "m_tot_mub_per_fu": 4.00, "e_tot_ev_per_fu": -19.42, "lattice": [[6.813, 0.000, 0.000], [2.736, 6.315, 0.000], [3.055, -0.642, 6.576]], "species": ["Fe", "Fe", "Se", "Se", "Se", "Se", "Br", "Br", "Br", "Br"], "frac_coords": [[0.230, 0.102, 0.451], [0.770, 0.898, 0.549], [0.127, 0.909, 0.219], [0.140, 0.759, 0.622], [0.860, 0.241, 0.378], [0.873, 0.091, 0.781], [0.338, 0.185, 0.726], [0.347, 0.367, 0.236], [0.653, 0.633, 0.764], [0.662, 0.815, 0.274]]}


Record 5
{"formula": "TbFeBr7", "functional": "PBE", "state": "relaxed", "m_tot_mub_per_fu": 4.85, "e_tot_ev_per_fu": -32.63, "lattice": [[6.835, 0.000, 0.000], [1.160, 8.962, 0.000], [2.625, 0.753, 10.444]], "species": ["Tb", "Tb", "Fe", "Fe", "Br", "Br", "Br", "Br", "Br", "Br", "Br", "Br", "Br", "Br", "Br", "Br", "Br", "Br"], "frac_coords": [[0.000, 0.000, 0.000], [0.241, 0.432, 0.439], [0.541, 0.630, 0.032], [0.815, 0.062, 0.454], [0.030, 0.425, 0.685], [0.138, 0.252, 0.041], [0.156, 0.121, 0.409], [0.236, 0.965, 0.763], [0.319, 0.834, 0.124], [0.384, 0.683, 0.481], [0.461, 0.568, 0.852], [0.534, 0.418, 0.184], [0.589, 0.266, 0.540], [0.688, 0.130, 0.901], [0.732, 0.996, 0.264], [0.783, 0.862, 0.600], [0.880, 0.695, 0.981], [0.945, 0.555, 0.325]]}


Record 6
{"formula": "FeTe2Br", "functional": "PBE", "state": "relaxed", "m_tot_mub_per_fu": 3.00, "e_tot_ev_per_fu": -16.42, "lattice": [[8.577, 0.000, 0.000], [0.000, 5.275, 0.000], [-5.606, 0.000, 11.476]], "species": ["Fe", "Fe", "Fe", "Fe", "Te", "Te", "Te", "Te", "Te", "Te", "Te", "Te", "Br", "Br", "Br", "Br"], "frac_coords": [[0.175, 0.152, 0.253], [0.175, 0.348, 0.753], [0.825, 0.652, 0.247], [0.825, 0.848, 0.747], [0.275, 0.022, 0.651], [0.275, 0.478, 0.151], [0.415, 0.665, 0.860], [0.415, 0.835, 0.360], [0.585, 0.165, 0.640], [0.585, 0.335, 0.140], [0.725, 0.522, 0.849], [0.725, 0.978, 0.349], [0.086, 0.088, 0.880], [0.086, 0.412, 0.380], [0.914, 0.588, 0.620], [0.914, 0.912, 0.120]]}


Record 7
{"formula": "Th6FeBr15", "functional": "PBE", "state": "relaxed", "m_tot_mub_per_fu": 1.01, "e_tot_ev_per_fu": -111.86, "lattice": [[-5.838, 5.838, 5.838], [5.838, -5.838, 5.838], [5.838, 5.838, -5.838]], "species": ["Th", "Th", "Th", "Th", "Th", "Th", "Fe", "Br", "Br", "Br", "Br", "Br", "Br", "Br", "Br", "Br", "Br", "Br", "Br", "Br", "Br", "Br"], "frac_coords": [[0.000, 0.238, 0.238], [0.000, 0.762, 0.762], [0.238, 0.000, 0.238], [0.238, 0.238, 0.000], [0.762, 0.000, 0.762], [0.762, 0.762, 0.000], [0.000, 0.000, 0.000], [0.000, 0.251, 0.749], [0.000, 0.500, 0.500], [0.000, 0.749, 0.251], [0.251, 0.000, 0.749], [0.251, 0.251, 0.502], [0.251, 0.502, 0.251], [0.251, 0.749, 0.000], [0.498, 0.749, 0.749], [0.500, 0.000, 0.500], [0.500, 0.500, 0.000], [0.502, 0.251, 0.251], [0.749, 0.000, 0.251], [0.749, 0.251, 0.000], [0.749, 0.498, 0.749], [0.749, 0.749, 0.498]]}


Record 8
{"formula": "TlFeBr3", "functional": "PBE", "state": "relaxed", "m_tot_mub_per_fu": 4.01, "e_tot_ev_per_fu": -18.61, "polymorph_energy_mev_per_atom": 0.0, "lattice": [[9.359, 0.000, 0.000], [0.000, 4.027, 0.000], [0.000, 0.000, 15.175]], "species": ["Tl", "Tl", "Tl", "Tl", "Fe", "Fe", "Fe", "Fe", "Br", "Br", "Br", "Br", "Br", "Br", "Br", "Br", "Br", "Br", "Br", "Br"], "frac_coords": [[0.057, 0.250, 0.170], [0.443, 0.750, 0.670], [0.557, 0.250, 0.330], [0.943, 0.750, 0.830], [0.158, 0.750, 0.448], [0.342, 0.250, 0.948], [0.658, 0.750, 0.052], [0.842, 0.250, 0.552], [0.022, 0.750, 0.599], [0.180, 0.750, 0.004], [0.229, 0.250, 0.797], [0.271, 0.750, 0.297], [0.320, 0.250, 0.504], [0.478, 0.250, 0.099], [0.522, 0.750, 0.901], [0.680, 0.750, 0.496], [0.729, 0.250, 0.703], [0.771, 0.750, 0.203], [0.820, 0.250, 0.996], [0.978, 0.250, 0.401]]}


Record 9
{"formula": "Tl3FeBr6", "functional": "PBE", "state": "relaxed", "m_tot_mub_per_fu": 4.27, "e_tot_ev_per_fu": -31.62, "lattice": [[0.000, 5.572, 5.572], [5.572, 0.000, 5.572], [5.572, 5.572, 0.000]], "species": ["Tl", "Tl", "Tl", "Fe", "Br", "Br", "Br", "Br", "Br", "Br"], "frac_coords": [[0.000, 0.000, 0.000], [0.250, 0.250, 0.250], [0.750, 0.750, 0.750], [0.500, 0.500, 0.500], [0.271, 0.271, 0.729], [0.271, 0.729, 0.271], [0.271, 0.729, 0.729], [0.729, 0.271, 0.271], [0.729, 0.271, 0.729], [0.729, 0.729, 0.271]]}


Record 10
{"formula": "TlFeBr3", "functional": "PBE", "state": "relaxed", "m_tot_mub_per_fu": 4.00, "e_tot_ev_per_fu": -18.60, "polymorph_energy_mev_per_atom": 2.1, "lattice": [[11.117, -6.408, 0.000], [11.117, 6.408, 0.000], [0.000, 0.000, 6.150]], "species": ["Tl", "Tl", "Tl", "Tl", "Tl", "Tl", "Fe", "Fe", "Fe", "Fe", "Fe", "Fe", "Br", "Br", "Br", "Br", "Br", "Br", "Br", "Br", "Br", "Br", "Br", "Br", "Br", "Br", "Br", "Br", "Br", "Br"], "frac_coords": [[0.163, 0.500, 0.000], [0.163, 0.837, 0.500], [0.500, 0.163, 0.500], [0.500, 0.837, 0.000], [0.837, 0.163, 0.000], [0.837, 0.500, 0.500], [0.167, 0.167, 0.238], [0.167, 0.167, 0.738], [0.500, 0.500, 0.315], [0.500, 0.500, 0.815], [0.833, 0.833, 0.238], [0.833, 0.833, 0.738], [0.001, 0.167, 0.487], [0.001, 0.332, 0.986], [0.167, 0.001, 0.987], [0.167, 0.332, 0.485], [0.332, 0.001, 0.486], [0.332, 0.167, 0.985], [0.335, 0.500, 0.569], [0.335, 0.665, 0.070], [0.500, 0.335, 0.069], [0.500, 0.665, 0.569], [0.665, 0.335, 0.570], [0.665, 0.500, 0.069], [0.668, 0.833, 0.485], [0.668, 0.999, 0.986], [0.833, 0.668, 0.985], [0.833, 0.999, 0.487], [0.999, 0.668, 0.486], [0.999, 0.833, 0.987]]}


Record 11
{"formula": "TmFeBr", "functional": "PBE", "state": "relaxed", "m_tot_mub_per_fu": 0.77, "e_tot_ev_per_fu": -17.30, "lattice": [[1.907, 1.101, 11.554], [-1.907, 1.101, 11.554], [0.000, -2.202, 11.554]], "species": ["Tm", "Tm", "Fe", "Fe", "Br", "Br"], "frac_coords": [[0.056, 0.056, 0.056], [0.944, 0.944, 0.944], [0.336, 0.336, 0.336], [0.664, 0.664, 0.664], [0.223, 0.223, 0.223], [0.777, 0.777, 0.777]]}


Record 12
{"formula": "YTmFe2Br2", "functional": "PBE", "state": "relaxed", "m_tot_mub_per_fu": 1.77, "e_tot_ev_per_fu": -36.56, "lattice": [[3.837, 0.000, 0.000], [-1.918, 3.323, 0.000], [0.000, 0.000, 11.553]], "species": ["Y", "Tm", "Fe", "Fe", "Br", "Br"], "frac_coords": [[0.000, 0.000, 0.000], [0.000, 0.000, 0.340], [0.333, 0.667, 0.167], [0.667, 0.333, 0.180], [0.333, 0.667, 0.504], [0.667, 0.333, 0.833]]}


Record 13
{"formula": "ZrFeBr7", "functional": "PBE", "state": "relaxed", "m_tot_mub_per_fu": 5.00, "e_tot_ev_per_fu": -37.14, "lattice": [[7.364, 0.000, 0.000], [0.000, 6.392, 0.000], [-2.269, 0.000, 15.540]], "species": ["Zr", "Zr", "Fe", "Fe", "Br", "Br", "Br", "Br", "Br", "Br", "Br", "Br", "Br", "Br", "Br", "Br", "Br", "Br"], "frac_coords": [[0.000, 0.081, 0.000], [0.000, 0.919, 0.500], [0.742, 0.487, 0.860], [0.742, 0.513, 0.360], [0.037, 0.333, 0.853], [0.037, 0.667, 0.353], [0.176, 0.333, 0.101], [0.176, 0.667, 0.601], [0.258, 0.138, 0.461], [0.258, 0.862, 0.961], [0.530, 0.381, 0.747], [0.530, 0.619, 0.247], [0.676, 0.331, 0.990], [0.676, 0.669, 0.490], [0.753, 0.143, 0.361], [0.753, 0.857, 0.861], [0.866, 0.144, 0.605], [0.866, 0.856, 0.105]]}


Record 14
{"formula": "Zr2FeBr8", "functional": "PBE", "state": "relaxed", "m_tot_mub_per_fu": 2.01, "e_tot_ev_per_fu": -49.42, "lattice": [[6.044, -5.517, 0.000], [6.044, 5.517, 0.000], [-0.241, 0.000, 6.268]], "species": ["Zr", "Zr", "Fe", "Br", "Br", "Br", "Br", "Br", "Br", "Br", "Br"], "frac_coords": [[0.182, 0.182, 0.337], [0.818, 0.818, 0.663], [0.000, 0.000, 0.000], [0.106, 0.715, 0.782], [0.171, 0.171, 0.745], [0.285, 0.894, 0.218], [0.381, 0.381, 0.241], [0.619, 0.619, 0.759], [0.715, 0.106, 0.782], [0.829, 0.829, 0.255], [0.894, 0.285, 0.218]]}


Record 15
{"formula": "NdGdGa2Br2", "functional": "PBE", "state": "relaxed", "m_tot_mub_per_fu": 0.00, "e_tot_ev_per_fu": -26.30, "lattice": [[4.192, 0.000, 0.000], [-2.096, 3.630, 0.000], [0.000, 0.000, 11.449]], "species": ["Nd", "Gd", "Ga", "Ga", "Br", "Br"], "frac_coords": [[0.000, 0.000, 0.000], [0.000, 0.000, 0.634], [0.333, 0.667, 0.843], [0.667, 0.333, 0.790], [0.333, 0.667, 0.478], [0.667, 0.333, 0.157]]}


Record 16
{"formula": "SmGdGa2Br2", "functional": "PBE", "state": "relaxed", "m_tot_mub_per_fu": 0.00, "e_tot_ev_per_fu": -26.25, "lattice": [[4.177, 0.000, 0.000], [-2.088, 3.617, 0.000], [0.000, 0.000, 11.368]], "species": ["Sm", "Gd", "Ga", "Ga", "Br", "Br"], "frac_coords": [[0.000, 0.000, 0.000], [0.000, 0.000, 0.635], [0.333, 0.667, 0.845], [0.667, 0.333, 0.788], [0.333, 0.667, 0.480], [0.667, 0.333, 0.158]]}


Record 17
{"formula": "GdYGa2Br2", "functional": "PBE", "state": "relaxed", "m_tot_mub_per_fu": 0.01, "e_tot_ev_per_fu": -27.93, "lattice": [[4.143, 0.000, 0.000], [-2.071, 3.588, 0.000], [0.000, 0.000, 11.309]], "species": ["Gd", "Y", "Ga", "Ga", "Br", "Br"], "frac_coords": [[0.000, 0.000, 0.000], [0.000, 0.000, 0.635], [0.333, 0.667, 0.847], [0.667, 0.333, 0.787], [0.333, 0.667, 0.480], [0.667, 0.333, 0.157]]}


Record 18
{"formula": "Sm2GaGeBr2", "functional": "PBE", "state": "relaxed", "m_tot_mub_per_fu": 0.00, "e_tot_ev_per_fu": -27.85, "lattice": [[4.169, 0.000, 0.000], [-2.084, 3.610, 0.000], [0.000, 0.000, 11.489]], "species": ["Sm", "Sm", "Ga", "Ge", "Br", "Br"], "frac_coords": [[0.000, 0.000, 0.000], [0.000, 0.000, 0.364], [0.667, 0.333, 0.156], [0.333, 0.667, 0.205], [0.333, 0.667, 0.842], [0.667, 0.333, 0.521]]}


Record 19
{"formula": "HfGaHg2Br6", "functional": "PBE", "state": "relaxed", "m_tot_mub_per_fu": 0.47, "e_tot_ev_per_fu": -30.96, "lattice": [[0.000, 5.586, 5.586], [5.586, 0.000, 5.586], [5.586, 5.586, 0.000]], "species": ["Hf", "Ga", "Hg", "Hg", "Br", "Br", "Br", "Br", "Br", "Br"], "frac_coords": [[0.000, 0.000, 0.000], [0.500, 0.500, 0.500], [0.250, 0.250, 0.250], [0.750, 0.750, 0.750], [0.234, 0.234, 0.766], [0.234, 0.766, 0.234], [0.234, 0.766, 0.766], [0.766, 0.234, 0.234], [0.766, 0.234, 0.766], [0.766, 0.766, 0.234]]}


Record 20
{"formula": "HfGa2HgBr6", "functional": "PBE", "state": "relaxed", "m_tot_mub_per_fu": 0.00, "e_tot_ev_per_fu": -33.47, "lattice": [[0.000, 5.859, 5.859], [5.859, 0.000, 5.859], [5.859, 5.859, 0.000]], "species": ["Hf", "Ga", "Ga", "Hg", "Br", "Br", "Br", "Br", "Br", "Br"], "frac_coords": [[0.000, 0.000, 0.000], [0.250, 0.250, 0.250], [0.750, 0.750, 0.750], [0.500, 0.500, 0.500], [0.223, 0.223, 0.777], [0.223, 0.777, 0.223], [0.223, 0.777, 0.777], [0.777, 0.223, 0.223], [0.777, 0.223, 0.777], [0.777, 0.777, 0.223]]}


Record 21
{"formula": "K2HfGaBr6", "functional": "PBE", "state": "relaxed", "m_tot_mub_per_fu": 1.00, "e_tot_ev_per_fu": -37.50, "lattice": [[0.000, 5.650, 5.650], [5.650, 0.000, 5.650], [5.650, 5.650, 0.000]], "species": ["K", "K", "Hf", "Ga", "Br", "Br", "Br", "Br", "Br", "Br"], "frac_coords": [[0.250, 0.250, 0.250], [0.750, 0.750, 0.750], [0.000, 0.000, 0.000], [0.500, 0.500, 0.500], [0.236, 0.236, 0.764], [0.236, 0.764, 0.236], [0.236, 0.764, 0.764], [0.764, 0.236, 0.236], [0.764, 0.236, 0.764], [0.764, 0.764, 0.236]]}